VASP calculation (PBE) on K3IrO after structural relaxation.

ΔE_f (raw): 0.164 eV/atom

Unit cell a=5.3172 b=5.3172 c=5.3172 alpha=90.00 beta=90.00 gamma=90.00
Closest atoms and distances in Å follow each position.
Fractional coordinates of all 5 atoms:
O 0.0000 0.0000 0.0000  6 K 2.66
Ir 0.5000 0.5000 0.5000  12 K 3.76
K 0.0000 0.5000 0.0000  2 O 2.66
K 0.0000 0.0000 0.5000  2 O 2.66
K 0.5000 0.0000 0.0000  2 O 2.66



VASP calculation (PBE) on K4IrO4 after structural relaxation.

ΔE_f (raw): -1.227 eV/atom
E above lowest polymorph: 0.0001 eV per atom

Unit cell a=5.6525 b=5.6525 c=6.2785 alpha=76.48 beta=76.48 gamma=69.02
Closest atoms and distances in Å follow each position.
Fractional coordinates of all 9 atoms:
K 0.8064 0.8064 0.5829  4 O 2.68-2.69
K 0.3780 0.3780 0.8654  6 O 2.78-2.97
K 0.1936 0.1936 0.4171  4 O 2.68-2.69
K 0.6220 0.6220 0.1346  6 O 2.78-2.97
O 0.3238 0.8972 0.8009  1 Ir 1.94
O 0.1028 0.6762 0.1991  1 Ir 1.94
O 0.6762 0.1028 0.1991  1 Ir 1.94
O 0.8972 0.3238 0.8009  1 Ir 1.94
Ir 0.0000 0.0000 0.0000  4 O 1.94



VASP calculation (PBE) on K2IrO3 after structural relaxation.

ΔE_f (raw): -0.974 eV/atom

Unit cell a=6.2274 b=6.0851 c=6.0851 alpha=111.22 beta=90.00 gamma=90.00
Closest atoms and distances in Å follow each position.
Fractional coordinates of all 12 atoms:
K 0.7500 0.4508 0.7985  3 O 2.70
K 0.7500 0.7985 0.4508  3 O 2.70
K 0.2500 0.5492 0.2015  3 O 2.70
K 0.2500 0.2015 0.5492  3 O 2.70
O 0.0000 0.8764 0.1236  2 Ir 2.01
O 0.0000 0.1236 0.8764  2 Ir 2.01
O 0.2500 0.6748 0.6748  1 Ir 1.95
O 0.7500 0.3252 0.3252  1 Ir 1.95
O 0.5000 0.1236 0.8764  2 Ir 2.01
O 0.5000 0.8764 0.1236  2 Ir 2.01
Ir 0.2500 0.9579 0.9579  5 O 1.95-2.01
Ir 0.7500 0.0421 0.0421  5 O 1.95-2.01



VASP calculation (PBE) on KIrO3 after structural relaxation.

ΔE_f (raw): -0.695 eV/atom

Unit cell a=2.9016 b=7.2044 c=7.3104 alpha=90.00 beta=101.43 gamma=90.00
Closest atoms and distances in Å follow each position.
Fractional coordinates of all 10 atoms:
O 0.8446 0.9175 0.1889  2 Ir 2.03
O 0.1554 0.4175 0.8111  2 Ir 2.03
O 0.9940 0.7500 0.4884  2 Ir 2.01
O 0.8446 0.5825 0.1889  2 Ir 2.03
O 0.0060 0.2500 0.5116  2 Ir 2.01
O 0.1554 0.0825 0.8111  2 Ir 2.03
Ir 0.3973 0.7500 0.2945  6 O 2.01-2.03
Ir 0.6027 0.2500 0.7055  6 O 2.01-2.03
K 0.3418 0.2500 0.1829  8 O 2.77-2.93, 2 K 2.90
K 0.6582 0.7500 0.8171  8 O 2.77-2.93, 2 K 2.90



Total DFT energy (no corrections) readings, ordered: -3.26 -4.90 -5.30 -5.66 eV/atom